Entry 1:
Below is a geometry-optimized MoBr2Cl structure, with properties calculated at the GGA-PBE level.

Lattice parameters (Å, degrees): 10.200 10.200 10.200 18.42 18.42 18.42
Positions (direct):
Cl 0.473 0.473 0.473
Br 0.251 0.251 0.251
Br 0.025 0.025 0.025
Mo 0.752 0.752 0.752

## Properties
The calculation puts the formation energy (no corrections) at -11.00 kJ per mole of atoms. The value obtained for the energy above the lowest structure with this stoichiometry is 0.392 eV per atom. Its crystal system is trigonal. As for the total energy: -0.15140 Ha/atom. As for the space-group type: R3m.

---

Entry 2:
Below is a geometry-optimized MoBrCl2 structure, with properties calculated at the GGA-PBE level.

Lattice parameters (Å, degrees): 7.748 7.748 7.748 156.60 144.13 43.27
Last column: magnetic moment on the atom in μB.
Positions (direct):
Cl 0.003 0.003 0.000  -0.04
Cl 0.637 0.137 0.500  0.02
Mo 0.502 0.502 0.000  1.86
Br 0.357 0.857 0.500  0.01

## Properties
The calculation puts the formation energy (no corrections) at -28.91 kJ per mole of atoms. The value obtained for the energy above the lowest structure with this stoichiometry is 0.312 eV per atom. Its crystal system is orthorhombic. As for the total energy: -0.15982 Ha/atom. As for the space-group type: Imm2.

---

Entry 3:
Below is a geometry-optimized MoBrCl2 structure, with properties calculated at the GGA-PBE level.

Lattice parameters (Å, degrees): 3.352 3.352 11.364 90.00 90.00 127.88
Last column: magnetic moment on the atom in μB.
Positions (direct):
Br 0.500 0.500 0.750  0.00
Cl 0.000 0.000 0.419  0.02
Cl 0.000 0.000 0.081  0.02
Mo 0.500 0.500 0.250  0.97

## Properties
The calculation puts the formation energy (no corrections) at -10.40 kJ per mole of atoms. The value obtained for the energy above the lowest structure with this stoichiometry is 0.504 eV per atom. Its crystal system is orthorhombic. As for the total energy: -0.15277 Ha/atom. As for the space-group type: Cmmm.

---

Entry 4:
Below is a geometry-optimized MoBr2Cl structure, with properties calculated at the GGA-PBE level.

Lattice parameters (Å, degrees): 6.747 6.747 7.072 60.92 60.92 30.12
Last column: magnetic moment on the atom in μB.
Positions (direct):
Mo 0.245 0.245 0.375  2.45
Br 0.897 0.897 0.093  0.03
Br 0.751 0.751 0.649  0.03
Cl 0.607 0.607 0.383  0.02

## Properties
The calculation puts the formation energy (no corrections) at -36.85 kJ per mole of atoms. The value obtained for the energy above the lowest structure with this stoichiometry is 0.124 eV per atom. Its crystal system is monoclinic. As for the total energy: -0.16125 Ha/atom. As for the space-group type: Cm.

---

Entry 5:
Below is a geometry-optimized MoBr2Cl structure, with properties calculated at the GGA-PBE level.

Lattice parameters (Å, degrees): 3.811 7.472 7.474 38.66 90.00 90.00
Last column: magnetic moment on the atom in μB.
Positions (direct):
Br 0.000 0.878 0.877  0.03
Br 0.000 0.622 0.623  0.03
Mo 0.500 0.750 0.750  2.49
Cl 0.500 0.250 0.250  0.06

## Properties
The calculation puts the formation energy (no corrections) at -48.81 kJ per mole of atoms. The value obtained for the energy above the lowest structure with this stoichiometry is 0.000 eV per atom. Its crystal system is orthorhombic. As for the total energy: -0.16580 Ha/atom. As for the space-group type: Cmmm.

---

Entry 6:
Below is a geometry-optimized Mo2BrCl structure, with properties calculated at the GGA-PBE level.

Lattice parameters (Å, degrees): 4.473 4.473 4.473 60.00 60.00 60.00
Positions (direct):
Cl 0.000 0.000 0.000
Mo 0.750 0.750 0.750
Mo 0.250 0.250 0.250
Br 0.500 0.500 0.500

## Properties
The calculation puts the formation energy (no corrections) at 97.56 kJ per mole of atoms. The value obtained for the energy above the lowest structure with this stoichiometry is 1.149 eV per atom. Its crystal system is cubic. As for the total energy: -0.19420 Ha/atom. As for the space-group type: Fm-3m.

---

Entry 7:
Below is a geometry-optimized MoBrCl2 structure, with properties calculated at the GGA-PBE level.

Lattice parameters (Å, degrees): 3.778 5.980 4.170 90.00 90.00 90.00
Last column: magnetic moment on the atom in μB.
Positions (direct):
Cl 0.000 0.000 0.000  -0.01
Cl 0.500 0.500 0.000  0.06
Br 0.000 0.500 0.500  0.05
Mo 0.500 0.000 0.500  3.66

## Properties
The calculation puts the formation energy (no corrections) at 59.34 kJ per mole of atoms. The value obtained for the energy above the lowest structure with this stoichiometry is 1.226 eV per atom. Its crystal system is orthorhombic. As for the total energy: -0.12621 Ha/atom. As for the space-group type: Pmmm.

---

Entry 8:
Below is a geometry-optimized MoBr3Cl structure, with properties calculated at the GGA-PBE level.

Lattice parameters (Å, degrees): 6.846 7.847 7.847 60.60 64.14 64.14
Last column: magnetic moment on the atom in μB.
Positions (direct):
Cl 0.218 0.223 0.277  0.02
Cl 0.718 0.777 0.723  0.02
Br 0.258 0.210 0.710  -0.01
Br 0.178 0.790 0.290  -0.01
Br 0.218 0.751 0.749  0.02
Br 0.678 0.790 0.290  -0.01
Br 0.758 0.210 0.710  -0.01
Br 0.718 0.249 0.251  0.02
Mo 0.468 0.000 0.500  1.02
Mo 0.968 0.000 0.500  1.02

## Properties
The calculation puts the formation energy (no corrections) at -50.28 kJ per mole of atoms. The value obtained for the energy above the lowest structure with this stoichiometry is 0.012 eV per atom. Its crystal system is orthorhombic. As for the total energy: -0.14922 Ha/atom. As for the space-group type: Imma.

---

Entry 9:
Below is a geometry-optimized MoBrCl2 structure, with properties calculated at the GGA-PBE level.

Lattice parameters (Å, degrees): 7.030 7.030 6.833 59.04 59.04 90.00
Positions (direct):
Br 0.250 0.750 0.500
Br 0.500 0.500 0.000
Cl 0.751 0.125 0.250
Cl 0.375 0.249 0.750
Cl 0.875 0.001 0.750
Cl 0.999 0.625 0.250
Mo 0.750 0.250 0.500
Mo 0.000 0.000 0.000

## Properties
The calculation puts the formation energy (no corrections) at 6.98 kJ per mole of atoms. The value obtained for the energy above the lowest structure with this stoichiometry is 0.684 eV per atom. Its crystal system is tetragonal. As for the total energy: -0.14615 Ha/atom. As for the space-group type: I-42d.

---

Entry 10:
Below is a geometry-optimized MoBrCl structure, with properties calculated at the GGA-PBE level.

Lattice parameters (Å, degrees): 6.620 10.024 6.694 138.46 90.00 90.00
Positions (direct):
Br 0.749 0.841 0.183
Br 0.751 0.341 0.183
Br 0.251 0.159 0.817
Br 0.249 0.659 0.817
Mo 0.843 0.035 0.070
Mo 0.343 0.465 0.930
Mo 0.657 0.535 0.070
Mo 0.157 0.965 0.930
Cl 0.125 0.686 0.372
Cl 0.625 0.814 0.628
Cl 0.875 0.314 0.628
Cl 0.375 0.186 0.372

## Properties
The calculation puts the formation energy (no corrections) at -37.12 kJ per mole of atoms. The value obtained for the energy above the lowest structure with this stoichiometry is 0.245 eV per atom. Its crystal system is monoclinic. As for the total energy: -0.18993 Ha/atom. As for the space-group type: P2_1/c.

---

Entry 11:
Below is a geometry-optimized MoBr2Cl structure, with properties calculated at the GGA-PBE level.

Lattice parameters (Å, degrees): 4.928 4.928 4.928 60.00 60.00 60.00
Last column: magnetic moment on the atom in μB.
Positions (direct):
Br 0.250 0.250 0.250  -0.11
Br 0.750 0.750 0.750  -0.11
Cl 0.000 0.000 0.000  0.00
Mo 0.500 0.500 0.500  2.85

## Properties
The calculation puts the formation energy (no corrections) at 44.68 kJ per mole of atoms. The value obtained for the energy above the lowest structure with this stoichiometry is 0.969 eV per atom. Its crystal system is cubic. As for the total energy: -0.13019 Ha/atom. As for the space-group type: Fm-3m.

---

Entry 12:
Below is a geometry-optimized MoBr3Cl structure, with properties calculated at the GGA-PBE level.

Lattice parameters (Å, degrees): 5.331 5.331 5.331 90.00 90.00 90.00
Last column: magnetic moment on the atom in μB.
Positions (direct):
Mo 0.500 0.500 0.500  4.02
Cl 0.000 0.000 0.000  0.03
Br 0.500 0.000 0.000  0.02
Br 0.000 0.000 0.500  0.02
Br 0.000 0.500 0.000  0.02

## Properties
The calculation puts the formation energy (no corrections) at 97.00 kJ per mole of atoms. The value obtained for the energy above the lowest structure with this stoichiometry is 1.539 eV per atom. Its crystal system is cubic. As for the total energy: -0.09312 Ha/atom. As for the space-group type: Pm-3m.

---

Entry 13:
Below is a geometry-optimized MoBr3Cl structure, with properties calculated at the GGA-PBE level.

Lattice parameters (Å, degrees): 6.559 6.552 7.580 90.00 90.00 95.39
Last column: magnetic moment on the atom in μB.
Positions (direct):
Br 0.965 0.796 0.802  0.01
Br 0.595 0.169 0.802  0.01
Br 0.063 0.264 0.552  -0.01
Br 0.965 0.796 0.302  0.01
Br 0.498 0.702 0.052  -0.01
Br 0.595 0.169 0.302  0.01
Cl 0.041 0.243 0.052  0.01
Cl 0.519 0.723 0.552  0.01
Mo 0.778 0.981 0.052  1.74
Mo 0.783 0.985 0.552  1.74

## Properties
The calculation puts the formation energy (no corrections) at -51.45 kJ per mole of atoms. The value obtained for the energy above the lowest structure with this stoichiometry is 0.000 eV per atom. Its crystal system is monoclinic. As for the total energy: -0.14966 Ha/atom. As for the space-group type: P2_1/m.

---

Entry 14:
Below is a geometry-optimized Mo2BrCl structure, with properties calculated at the GGA-PBE level.

Lattice parameters (Å, degrees): 9.415 9.415 9.415 160.67 161.00 27.23
Positions (direct):
Mo 0.822 0.322 0.500
Mo 0.924 0.924 0.000
Cl 0.234 0.734 0.500
Br 0.520 0.520 0.000

## Properties
The calculation puts the formation energy (no corrections) at 16.71 kJ per mole of atoms. The value obtained for the energy above the lowest structure with this stoichiometry is 0.311 eV per atom. Its crystal system is orthorhombic. As for the total energy: -0.22499 Ha/atom. As for the space-group type: Imm2.

---

Entry 15:
Below is a geometry-optimized MoBr4Cl structure, with properties calculated at the GGA-PBE level.

Lattice parameters (Å, degrees): 6.086 6.086 6.086 60.00 60.00 60.00
Last column: magnetic moment on the atom in μB.
Positions (direct):
Cl 0.750 0.750 0.750  -0.07
Br 0.375 0.876 0.375  0.01
Br 0.375 0.375 0.876  0.01
Br 0.876 0.375 0.375  0.01
Br 0.375 0.375 0.375  0.01
Mo 0.000 0.000 0.000  3.72

## Properties
The calculation puts the formation energy (no corrections) at 92.83 kJ per mole of atoms. The value obtained for the energy above the lowest structure with this stoichiometry is 0.939 eV per atom. Its crystal system is cubic. As for the total energy: -0.08328 Ha/atom. As for the space-group type: F-43m.

---

Entry 16:
Below is a geometry-optimized Mo2BrCl structure, with properties calculated at the GGA-PBE level.

Lattice parameters (Å, degrees): 4.280 4.280 8.871 76.04 76.04 90.00
Positions (direct):
Br 0.000 0.000 0.000
Br 0.750 0.250 0.500
Mo 0.875 0.801 0.750
Mo 0.551 0.125 0.250
Mo 0.375 0.449 0.750
Mo 0.199 0.625 0.250
Cl 0.500 0.500 0.000
Cl 0.250 0.750 0.500

## Properties
The calculation puts the formation energy (no corrections) at 57.36 kJ per mole of atoms. The value obtained for the energy above the lowest structure with this stoichiometry is 0.732 eV per atom. Its crystal system is tetragonal. As for the total energy: -0.20951 Ha/atom. As for the space-group type: I-42d.

---

Entry 17:
Below is a geometry-optimized Mo2BrCl structure, with properties calculated at the GGA-PBE level.

Lattice parameters (Å, degrees): 3.375 3.375 6.423 90.00 90.00 90.00
Positions (direct):
Cl 0.500 0.500 0.750
Mo 0.000 0.000 0.572
Mo 0.000 0.000 0.928
Br 0.500 0.500 0.250

## Properties
The calculation puts the formation energy (no corrections) at 86.58 kJ per mole of atoms. The value obtained for the energy above the lowest structure with this stoichiometry is 1.035 eV per atom. Its crystal system is tetragonal. As for the total energy: -0.19838 Ha/atom. As for the space-group type: P4/mmm.

---

Entry 18:
Below is a geometry-optimized Mo2BrCl structure, with properties calculated at the GGA-PBE level.

Lattice parameters (Å, degrees): 5.021 5.021 7.076 85.07 85.07 38.22
Positions (direct):
Br 0.444 0.444 0.611
Mo 0.763 0.763 0.872
Mo 0.088 0.088 0.857
Cl 0.205 0.205 0.160

## Properties
The calculation puts the formation energy (no corrections) at 29.98 kJ per mole of atoms. The value obtained for the energy above the lowest structure with this stoichiometry is 0.448 eV per atom. Its crystal system is monoclinic. As for the total energy: -0.21993 Ha/atom. As for the space-group type: Cm.

---

Entry 19:
Below is a geometry-optimized MoBr4Cl structure, with properties calculated at the GGA-PBE level.

Lattice parameters (Å, degrees): 8.673 8.673 7.998 90.00 90.00 90.00
Last column: magnetic moment on the atom in μB.
Positions (direct):
Mo 0.500 0.000 0.500  1.75
Mo 0.000 0.500 0.000  1.75
Cl 0.000 0.000 0.000  -0.38
Cl 0.000 0.000 0.500  -0.38
Br 0.299 0.197 0.500  -0.10
Br 0.803 0.701 0.000  -0.10
Br 0.701 0.803 0.500  -0.10
Br 0.701 0.197 0.500  -0.10
Br 0.299 0.803 0.500  -0.10
Br 0.197 0.299 0.000  -0.10
Br 0.803 0.299 0.000  -0.10
Br 0.197 0.701 0.000  -0.10

## Properties
The calculation puts the formation energy (no corrections) at 2.19 kJ per mole of atoms. The value obtained for the energy above the lowest structure with this stoichiometry is 0.000 eV per atom. Its crystal system is tetragonal. As for the total energy: -0.11780 Ha/atom. As for the space-group type: P4_2/mmc.

---

Entry 20:
Below is a geometry-optimized MoBr2Cl structure, with properties calculated at the GGA-PBE level.

Lattice parameters (Å, degrees): 4.973 4.975 4.978 120.02 120.01 89.92
Last column: magnetic moment on the atom in μB.
Positions (direct):
Cl 0.500 0.500 0.000  -0.07
Br 0.000 0.000 0.000  -0.17
Br 0.250 0.750 0.500  -0.14
Mo 0.750 0.250 0.500  3.02

## Properties
The calculation puts the formation energy (no corrections) at 57.00 kJ per mole of atoms. The value obtained for the energy above the lowest structure with this stoichiometry is 1.097 eV per atom. Its crystal system is tetragonal. As for the total energy: -0.12550 Ha/atom. As for the space-group type: I-4m2.